Record 1
The following is a DFT calculation (GGA-PBE) of YScTlPt after structural relaxation.

It has space group F-43m (No. 216), with a = 7.104 Å, b = 7.104 Å, c = 7.104 Å, α = 90.00°, β = 90.00° and γ = 90.00°. The asymmetric unit holds Y at (0.000, 0.000, 0.000), Sc at (0.000, 0.000, 0.500), Tl at (0.250, 0.250, 0.750) and Pt at (0.250, 0.250, 0.250).

The calculation puts the calculated formation energy at -0.669 eV per atom. The magnetic moment comes out at 0.000 μB per atom.

=====

Record 2
The following is a DFT calculation (GGA-PBE) of Tm2ScPt9 after structural relaxation.

It has space group P4/mmm (No. 123), with a = 4.065 Å, b = 4.065 Å, c = 12.186 Å, α = 90.00°, β = 90.00° and γ = 90.00°. The asymmetric unit holds Tm at (0.000, 0.000, 0.169), Sc at (0.000, 0.000, 0.500), Pt at (0.000, 0.500, 0.000), Pt at (0.000, 0.500, 0.339), Pt at (0.500, 0.500, 0.169) and Pt at (0.500, 0.500, 0.500).

The calculation puts the calculated formation energy at -1.080 eV per atom. The magnetic moment comes out at 0.000 μB per atom.